Computed, not measured: a geometry-optimized YZnAgF2 structure at the PBE level of DFT.

Values from the calculation:
SG: P4/mmm (123)
Calculated total energy (eV/cell): -20.2
Fermi-level density of states (states/eV/f.u.): 2.2

Structure (extended XYZ):
```
5
Lattice="4.2056 0.0000 0.0000 0.0000 4.2056 0.0000 0.0000 0.0000 5.2395" Properties=species:S:1:pos:R:3 pbc="T T T"
Y 0.0000 0.0000 0.0000
Zn 2.1028 2.1028 2.6198
Ag 2.1028 2.1028 0.0000
F 0.0000 2.1028 2.6198
F 2.1028 0.0000 2.6198
```

Computed, not measured: a geometry-optimized Zn2CdAu2 structure at the PBE level of DFT.

Values from the calculation:
SG: I4/mmm (139)
Calculated total energy (eV/cell): -10.1
Fermi-level density of states (states/eV/f.u.): 1.5
Energy relative to the elements (kcal/mol of atoms): -0.4
Distance to the lowest polymorph of the same formula (meV/atom): 150

Structure (extended XYZ):
```
5
Lattice="-1.9796 1.9796 6.1706 1.9796 -1.9796 6.1706 1.9796 1.9796 -6.1706" Properties=species:S:1:pos:R:3 pbc="T T T"
Zn 0.0000 0.0000 1.2299
Zn 0.0000 0.0000 11.1112
Cd 0.0000 0.0000 6.1706
Au 1.9796 0.0000 3.0853
Au 0.0000 1.9796 3.0853
```